P.
# NiIr2Pt

A PBEsol-optimized structure of NiIr2Pt (meta-GGA SCAN, Alexandria).

Cell and atoms, written as POSCAR:
```
NiIr2Pt
1.0
2.657 0.000 0.000
-1.328 2.307 0.000
0.000 0.000 9.034
Ir Ni Pt
2 1 1
direct
0.000 0.000 0.735
0.000 0.000 0.265
0.500 0.000 0.500
0.500 0.000 0.000
```

Values from the calculation:
Magnetic moment   1.470 μB per cell
Space-group type   No. 65

=====

Q.
# NiIr2Pt

A PBEsol-optimized structure of NiIr2Pt (meta-GGA SCAN, Alexandria).

Cell and atoms, written as POSCAR:
```
NiIr2Pt
1.0
2.706 0.000 0.000
0.000 3.744 0.000
0.000 0.000 5.324
Ni Ir Pt
1 2 1
direct
0.000 0.000 0.496
0.000 0.000 0.013
0.500 0.500 0.250
0.500 0.500 0.741
```

Values from the calculation:
Magnetic moment   0.725 μB per cell
Space-group type   No. 25

=====

R.
# NiIr2Pt

A PBEsol-optimized structure of NiIr2Pt (meta-GGA SCAN, Alexandria).

Cell and atoms, written as POSCAR:
```
NiIr2Pt
1.0
3.774 0.000 0.000
0.000 3.774 0.000
-1.887 -1.887 3.772
Ni Ir Pt
1 2 1
direct
0.500 0.500 0.000
0.000 0.000 0.000
0.750 0.250 0.500
0.250 0.750 0.500
```

Values from the calculation:
Magnetic moment   1.083 μB per cell
Space-group type   No. 119

=====

R wins, 17 meV per atom ahead of the next structure.

=====

P.
# Re2NiIr

A PBEsol-optimized structure of Re2NiIr (meta-GGA SCAN, Alexandria).

Cell and atoms, written as POSCAR:
```
Re2NiIr
1.0
2.693 0.000 0.000
0.000 4.581 0.000
-1.347 -0.771 4.399
Ir Ni Re
1 1 2
direct
0.500 0.000 0.000
0.000 0.500 0.000
0.249 0.251 0.498
0.751 0.749 0.502
```

Values from the calculation:
Magnetic moment   0.000 μB per cell
Space-group type   No. 12

=====

Q.
# Re2NiIr

A PBEsol-optimized structure of Re2NiIr (meta-GGA SCAN, Alexandria).

Cell and atoms, written as POSCAR:
```
Re2NiIr
1.0
-1.008 -1.291 2.125
-3.294 -1.325 -2.367
2.407 -3.848 -1.196
Re Ir Ni
2 1 1
direct
0.000 0.000 0.046
0.000 0.500 0.716
0.500 0.000 0.529
0.500 0.500 0.209
```

Values from the calculation:
Magnetic moment   0.000 μB per cell
Space-group type   No. 25

=====

Q wins, 191 meV per atom ahead of the next structure.

=====

P.
# ReNi2Ir

A PBEsol-optimized structure of ReNi2Ir (meta-GGA SCAN, Alexandria).

Cell and atoms, written as POSCAR:
```
ReNi2Ir
1.0
-0.820 -1.995 -1.556
3.042 0.333 -2.031
2.387 -3.341 3.027
Re Ir Ni
1 1 2
direct
0.000 0.000 0.494
0.500 0.500 0.750
0.000 0.000 0.015
0.500 0.500 0.241
```

Values from the calculation:
Magnetic moment   0.000 μB per cell
Space-group type   No. 25

=====

Q.
# ReNi2Ir

A PBEsol-optimized structure of ReNi2Ir (meta-GGA SCAN, Alexandria).

Cell and atoms, written as POSCAR:
```
ReNi2Ir
1.0
2.645 0.000 0.000
-1.322 4.240 -0.005
0.000 -0.818 4.481
Ir Ni Re
1 2 1
direct
0.500 0.000 0.000
0.751 0.501 0.739
0.249 0.499 0.261
0.000 0.000 0.500
```

Values from the calculation:
Magnetic moment   0.000 μB per cell
Space-group type   No. 12

=====

R.
# ReNi2Ir

A PBEsol-optimized structure of ReNi2Ir (meta-GGA SCAN, Alexandria).

Cell and atoms, written as POSCAR:
```
ReNi2Ir
1.0
3.632 0.000 0.000
0.000 3.632 0.000
-1.816 -1.816 3.737
Re Ir Ni
1 1 2
direct
0.500 0.500 0.000
0.250 0.750 0.500
0.000 0.000 0.000
0.750 0.250 0.500
```

Values from the calculation:
Magnetic moment   0.000 μB per cell
Space-group type   No. 119

=====

R wins, 29 meV per atom ahead of the next structure.

=====

P.
# ReNi2Ir

A PBEsol-optimized structure of ReNi2Ir (meta-GGA SCAN, Alexandria).

Cell and atoms, written as POSCAR:
```
ReNi2Ir
1.0
-1.325 -0.640 -3.365
1.749 -3.229 -0.075
-3.155 0.306 3.189
Ir Ni Re
1 2 1
direct
0.000 0.000 0.000
0.750 0.250 0.500
0.250 0.750 0.500
0.500 0.500 0.000
```

Values from the calculation:
Magnetic moment   0.000 μB per cell
Space-group type   No. 139

=====

Q.
# ReNi2Ir

A PBEsol-optimized structure of ReNi2Ir (meta-GGA SCAN, Alexandria).

Cell and atoms, written as POSCAR:
```
ReNi2Ir
1.0
2.645 0.000 0.000
0.000 4.408 -0.008
-1.323 -0.789 4.261
Re Ir Ni
1 1 2
direct
0.501 0.500 0.003
0.749 0.254 0.498
0.999 0.987 0.998
0.251 0.759 0.502
```

Values from the calculation:
Magnetic moment   0.000 μB per cell
Space-group type   No. 8

=====

Q wins, 63 meV per atom ahead of the next structure.